[1]
Compound: NaBe3Si
Source: Alexandria
Functional: GGA-PBE
Structure: optimized geometry

Final energy ... -2.77 eV per atom
DOS(E_F) ... 2.56 states/eV per cell

```
5
Lattice="4.287 0.000 0.000 0.000 4.287 0.000 0.000 0.000 4.287" Properties=species:S:1:pos:R:3 pbc="T T T"
Na 0.000 0.000 0.000
Be 0.000 2.144 2.144
Be 2.144 0.000 2.144
Be 2.144 2.144 0.000
Si 2.144 2.144 2.144
```

[2]
Compound: LiHgPdPb2
Source: Alexandria
Functional: GGA-PBE
Structure: optimized geometry

Final energy ... -3.03 eV per atom
DOS(E_F) ... 2.82 states/eV per cell
Formation energy ... -0.06 eV per atom

```
5
Lattice="5.303 0.000 0.000 0.000 5.303 0.000 0.000 0.000 4.861" Properties=species:S:1:pos:R:3 pbc="T T T"
Li 0.000 0.000 0.000
Hg 2.652 2.652 0.000
Pd 0.000 0.000 2.430
Pb 0.000 2.652 2.430
Pb 2.652 0.000 2.430
```

[3]
Compound: Tb2CeTh12
Source: Alexandria
Functional: GGA-PBE
Structure: optimized geometry

Final energy ... -6.72 eV per atom
DOS(E_F) ... 26.91 states/eV per cell
Formation energy ... 0.23 eV per atom

```
15
Lattice="3.462 0.000 0.000 0.000 5.776 0.000 0.000 0.000 24.855" Properties=species:S:1:pos:R:3 pbc="T T T"
Tb 0.000 0.000 5.872
Tb 0.000 0.000 18.983
Ce 0.000 0.000 12.428
Th 0.000 2.888 1.576
Th 0.000 2.888 10.753
Th 0.000 2.888 14.102
Th 0.000 2.888 23.279
Th 1.731 0.000 2.081
Th 1.731 0.000 9.333
Th 1.731 0.000 15.522
Th 1.731 0.000 22.774
Th 1.731 2.888 4.462
Th 1.731 2.888 7.636
Th 1.731 2.888 17.219
Th 1.731 2.888 20.393
```

[4]
Compound: MgIn2NiI
Source: Alexandria
Functional: GGA-PBE
Structure: optimized geometry

Final energy ... -3.03 eV per atom
DOS(E_F) ... 3.46 states/eV per cell

```
5
Lattice="5.078 0.000 0.000 0.000 5.078 0.000 0.000 0.000 5.164" Properties=species:S:1:pos:R:3 pbc="T T T"
Mg 0.000 0.000 0.000
In 0.000 2.539 2.582
In 2.539 0.000 2.582
Ni 0.000 0.000 2.582
I 2.539 2.539 0.000
```